Record 1
Entry from Alexandria: a geometry-optimized KRePb2O structure (PBE-GGA).

Structure (CIF):
```
data_KRePb2O
_cell_length_a 4.968
_cell_length_b 4.968
_cell_length_c 4.837
_cell_angle_alpha 90.00
_cell_angle_beta 90.00
_cell_angle_gamma 90.00
_symmetry_space_group_name_H-M 'P 4/m m m'
_symmetry_Int_Tables_number 123
_symmetry_space_group_name_Hall '-P 4 2'
loop_
_atom_site_label
_atom_site_fract_x
_atom_site_fract_y
_atom_site_fract_z
K1 0.000 0.000 0.000
Re1 0.500 0.500 0.000
Pb1 0.000 0.500 0.500
O1 0.000 0.000 0.500
```

Calculated values
The size of the total moment is 0.575 μB/atom. As for the crystal system: tetragonal. The calculation puts the raw total energy at -4.62 eV per atom.

=====

Record 2
Entry from Alexandria: a geometry-optimized Ge5SbTe7 structure (PBE-GGA).

Structure (CIF):
```
data_Ge5SbTe7
_cell_length_a 4.189
_cell_length_b 7.447
_cell_length_c 25.285
_cell_angle_alpha 87.85
_cell_angle_beta 90.00
_cell_angle_gamma 73.76
_symmetry_space_group_name_H-M 'P 1'
_symmetry_Int_Tables_number 1
_symmetry_space_group_name_Hall 'P 1'
loop_
_atom_site_label
_atom_site_fract_x
_atom_site_fract_y
_atom_site_fract_z
Ge1 0.000 0.000 0.000
Ge2 0.000 0.000 0.346
Ge3 0.157 0.686 0.784
Ge4 0.173 0.645 0.567
Ge5 0.278 0.444 0.276
Ge6 0.280 0.442 0.062
Ge7 0.440 0.120 0.845
Ge8 0.458 0.076 0.496
Ge9 0.721 0.553 0.413
Ge10 0.729 0.544 0.918
Sb1 0.537 0.925 0.173
Sb2 0.888 0.214 0.643
Te1 0.077 0.833 0.459
Te2 0.104 0.798 0.889
Te3 0.184 0.631 0.169
Te4 0.255 0.483 0.673
Te5 0.346 0.298 0.387
Te6 0.380 0.244 0.963
Te7 0.539 0.927 0.750
Te8 0.543 0.905 0.600
Te9 0.620 0.754 0.313
Te10 0.660 0.683 0.025
Te11 0.809 0.370 0.534
Te12 0.825 0.353 0.810
Te13 0.897 0.201 0.246
Te14 0.927 0.147 0.101
```

Calculated values
The size of the total moment is 0.000 μB/atom. As for the crystal system: triclinic. The calculation puts the raw total energy at -3.84 eV per atom.

=====

Record 3
Entry from Alexandria: a geometry-optimized TbSmHo5Er2 structure (PBE-GGA).

Structure (CIF):
```
data_TbSmHo5Er2
_cell_length_a 5.572
_cell_length_b 19.730
_cell_length_c 10.515
_cell_angle_alpha 90.00
_cell_angle_beta 90.00
_cell_angle_gamma 90.00
_symmetry_space_group_name_H-M 'C m c 21'
_symmetry_Int_Tables_number 36
_symmetry_space_group_name_Hall 'C 2c -2'
loop_
_atom_site_label
_atom_site_fract_x
_atom_site_fract_y
_atom_site_fract_z
Tb1 0.000 0.200 0.000
Sm1 0.000 0.415 0.441
Ho1 0.000 0.018 0.013
Ho2 0.000 0.281 0.299
Ho3 0.000 0.299 0.697
Ho4 0.000 0.390 0.012
Ho5 0.000 0.478 0.725
Er1 0.000 0.110 0.725
Er2 0.000 0.114 0.307
```

Calculated values
The size of the total moment is 0.000 μB/atom. As for the crystal system: orthorhombic. The calculation puts the raw total energy at -4.44 eV per atom.

=====

Record 4
Entry from Alexandria: a geometry-optimized ZrScFe2 structure (PBE-GGA).

Structure (CIF):
```
data_ZrScFe2
_cell_length_a 3.1502
_cell_length_b 3.1502
_cell_length_c 23.6468
_cell_angle_alpha 90.00
_cell_angle_beta 90.00
_cell_angle_gamma 120.00
_symmetry_space_group_name_H-M 'R -3 m'
_symmetry_Int_Tables_number 166
_symmetry_space_group_name_Hall '-R 3 2"'
loop_
_atom_site_label
_atom_site_fract_x
_atom_site_fract_y
_atom_site_fract_z
Zr1 0.0000 0.0000 0.0000
Sc1 0.0000 0.0000 0.5000
Fe1 0.0000 0.0000 0.2510
```

Calculated values
The size of the total moment is 0.627 μB/atom. As for the crystal system: trigonal. The calculation puts the raw total energy at -7.71 eV per atom.

=====

Record 5
Entry from Alexandria: a geometry-optimized TaCrSi2 structure (PBE-GGA).

Structure (CIF):
```
data_TaCrSi2
_cell_length_a 3.057
_cell_length_b 4.534
_cell_length_c 8.076
_cell_angle_alpha 90.00
_cell_angle_beta 90.00
_cell_angle_gamma 90.00
_symmetry_space_group_name_H-M 'I m m m'
_symmetry_Int_Tables_number 71
_symmetry_space_group_name_Hall '-I 2 2'
loop_
_atom_site_label
_atom_site_fract_x
_atom_site_fract_y
_atom_site_fract_z
Ta1 0.000 0.000 0.000
Cr1 0.000 0.000 0.500
Si1 0.000 0.500 0.234
```

Calculated values
The size of the total moment is 0.000 μB/atom. As for the crystal system: orthorhombic. The calculation puts the raw total energy at -8.16 eV per atom.

=====

Record 6
Entry from Alexandria: a geometry-optimized NaCuAgO2 structure (PBE-GGA).

Structure (CIF):
```
data_NaCuAgO2
_cell_length_a 5.869
_cell_length_b 9.452
_cell_length_c 6.667
_cell_angle_alpha 90.00
_cell_angle_beta 90.00
_cell_angle_gamma 90.00
_symmetry_space_group_name_H-M 'C m m e'
_symmetry_Int_Tables_number 67
_symmetry_space_group_name_Hall '-C 2a 2'
loop_
_atom_site_label
_atom_site_fract_x
_atom_site_fract_y
_atom_site_fract_z
Na1 0.000 0.250 0.211
Cu1 0.250 0.000 0.000
Ag1 0.000 0.000 0.500
O1 0.000 0.009 0.188
```

Calculated values
The size of the total moment is 0.000 μB/atom. As for the crystal system: orthorhombic. The calculation puts the raw total energy at -4.23 eV per atom.

=====

Record 7
Entry from Alexandria: a geometry-optimized DyMnFeGe2 structure (PBE-GGA).

Structure (CIF):
```
data_DyMnFeGe2
_cell_length_a 3.932
_cell_length_b 3.932
_cell_length_c 10.626
_cell_angle_alpha 90.00
_cell_angle_beta 90.00
_cell_angle_gamma 90.00
_symmetry_space_group_name_H-M 'I -4 m 2'
_symmetry_Int_Tables_number 119
_symmetry_space_group_name_Hall 'I -4 -2'
loop_
_atom_site_label
_atom_site_fract_x
_atom_site_fract_y
_atom_site_fract_z
Dy1 0.000 0.000 0.000
Mn1 0.000 0.500 0.750
Fe1 0.000 0.500 0.250
Ge1 0.000 0.000 0.379
```

Calculated values
The size of the total moment is 0.615 μB/atom. As for the crystal system: tetragonal. The calculation puts the raw total energy at -6.78 eV per atom.

=====

Record 8
Entry from Alexandria: a geometry-optimized VGa2FeCo4 structure (PBE-GGA).

Structure (CIF):
```
data_VGa2FeCo4
_cell_length_a 4.0641
_cell_length_b 4.0641
_cell_length_c 19.8415
_cell_angle_alpha 90.00
_cell_angle_beta 90.00
_cell_angle_gamma 120.00
_symmetry_space_group_name_H-M 'R -3 m'
_symmetry_Int_Tables_number 166
_symmetry_space_group_name_Hall '-R 3 2"'
loop_
_atom_site_label
_atom_site_fract_x
_atom_site_fract_y
_atom_site_fract_z
V1 0.0000 0.0000 0.0000
Ga1 0.0000 0.0000 0.2498
Fe1 0.0000 0.0000 0.5000
Co1 0.0000 0.0000 0.1246
Co2 0.0000 0.0000 0.3744
```

Calculated values
The size of the total moment is 0.880 μB/atom. As for the crystal system: trigonal. The calculation puts the raw total energy at -6.77 eV per atom.

=====

Record 9
Entry from Alexandria: a geometry-optimized La4Cd3Ga structure (PBE-GGA).

Structure (CIF):
```
data_La4Cd3Ga
_cell_length_a 3.856
_cell_length_b 3.856
_cell_length_c 15.855
_cell_angle_alpha 90.00
_cell_angle_beta 90.00
_cell_angle_gamma 90.00
_symmetry_space_group_name_H-M 'P 4/m m m'
_symmetry_Int_Tables_number 123
_symmetry_space_group_name_Hall '-P 4 2'
loop_
_atom_site_label
_atom_site_fract_x
_atom_site_fract_y
_atom_site_fract_z
La1 0.000 0.000 0.112
La2 0.000 0.000 0.371
Cd1 0.500 0.500 0.244
Cd2 0.500 0.500 0.500
Ga1 0.500 0.500 0.000
```

Calculated values
The size of the total moment is 0.061 μB/atom. As for the crystal system: tetragonal. The calculation puts the raw total energy at -3.58 eV per atom.

=====

Record 10
Entry from Alexandria: a geometry-optimized Dy7Y2Ho3 structure (PBE-GGA).

Structure (CIF):
```
data_Dy7Y2Ho3
_cell_length_a 6.310
_cell_length_b 3.504
_cell_length_c 17.349
_cell_angle_alpha 90.00
_cell_angle_beta 96.18
_cell_angle_gamma 90.00
_symmetry_space_group_name_H-M 'P 1 2/m 1'
_symmetry_Int_Tables_number 10
_symmetry_space_group_name_Hall '-P 2y'
loop_
_atom_site_label
_atom_site_fract_x
_atom_site_fract_y
_atom_site_fract_z
Dy1 0.000 0.000 0.000
Dy2 0.226 0.500 0.168
Dy3 0.256 0.500 0.498
Dy4 0.274 0.000 0.835
Y1 0.060 0.500 0.673
Ho1 0.450 0.000 0.342
Ho2 0.500 0.500 0.000
```

Calculated values
The size of the total moment is 0.000 μB/atom. As for the crystal system: monoclinic. The calculation puts the raw total energy at -4.83 eV per atom. As for the energy above the most stable polymorph in this dataset: 0.000 eV/atom.

=====

Record 11
Entry from Alexandria: a geometry-optimized TbGd2Cd structure (PBE-GGA).

Structure (CIF):
```
data_TbGd2Cd
_cell_length_a 4.871
_cell_length_b 4.871
_cell_length_c 4.901
_cell_angle_alpha 90.00
_cell_angle_beta 90.00
_cell_angle_gamma 90.00
_symmetry_space_group_name_H-M 'P 4/m m m'
_symmetry_Int_Tables_number 123
_symmetry_space_group_name_Hall '-P 4 2'
loop_
_atom_site_label
_atom_site_fract_x
_atom_site_fract_y
_atom_site_fract_z
Tb1 0.000 0.000 0.000
Gd1 0.000 0.500 0.500
Cd1 0.500 0.500 0.000
```

Calculated values
The size of the total moment is 3.900 μB/atom. As for the crystal system: tetragonal. The calculation puts the raw total energy at -8.54 eV per atom. As for the energy above the most stable polymorph in this dataset: 0.033 eV/atom.

=====

Record 12
Entry from Alexandria: a geometry-optimized Te2RhI structure (PBE-GGA).

Structure (CIF):
```
data_Te2RhI
_cell_length_a 9.232
_cell_length_b 12.730
_cell_length_c 5.682
_cell_angle_alpha 90.00
_cell_angle_beta 106.34
_cell_angle_gamma 90.00
_symmetry_space_group_name_H-M 'C 1 2/c 1'
_symmetry_Int_Tables_number 15
_symmetry_space_group_name_Hall '-C 2yc'
loop_
_atom_site_label
_atom_site_fract_x
_atom_site_fract_y
_atom_site_fract_z
Te1 0.161 0.123 0.072
Rh1 0.000 0.000 0.250
I1 0.000 0.396 0.750
```

Calculated values
The size of the total moment is 0.000 μB/atom. As for the crystal system: monoclinic. The calculation puts the raw total energy at -3.89 eV per atom.

=====

Record 13
Entry from Alexandria: a geometry-optimized Rb2Tl2Hg structure (PBE-GGA).

Structure (CIF):
```
data_Rb2Tl2Hg
_cell_length_a 5.446
_cell_length_b 6.450
_cell_length_c 12.160
_cell_angle_alpha 90.00
_cell_angle_beta 90.00
_cell_angle_gamma 90.00
_symmetry_space_group_name_H-M 'I m m m'
_symmetry_Int_Tables_number 71
_symmetry_space_group_name_Hall '-I 2 2'
loop_
_atom_site_label
_atom_site_fract_x
_atom_site_fract_y
_atom_site_fract_z
Rb1 0.000 0.000 0.192
Tl1 0.000 0.250 0.500
Hg1 0.000 0.500 0.000
```

Calculated values
The size of the total moment is 0.000 μB/atom. As for the crystal system: orthorhombic. The calculation puts the raw total energy at -1.52 eV per atom. As for the energy above the most stable polymorph in this dataset: 0.000 eV/atom.

=====

Record 14
Entry from Alexandria: a geometry-optimized KNp2TaO8 structure (PBE-GGA).

Structure (CIF):
```
data_KNp2TaO8
_cell_length_a 5.042
_cell_length_b 6.956
_cell_length_c 5.048
_cell_angle_alpha 90.00
_cell_angle_beta 92.33
_cell_angle_gamma 90.00
_symmetry_space_group_name_H-M 'P 1 2/m 1'
_symmetry_Int_Tables_number 10
_symmetry_space_group_name_Hall '-P 2y'
loop_
_atom_site_label
_atom_site_fract_x
_atom_site_fract_y
_atom_site_fract_z
K1 0.000 0.000 0.000
Np1 0.500 0.254 0.500
Ta1 0.000 0.500 0.000
O1 0.205 0.299 0.204
O2 0.283 0.500 0.716
O3 0.335 0.000 0.663
```

Calculated values
The size of the total moment is 0.333 μB/atom. As for the crystal system: monoclinic. The calculation puts the raw total energy at -9.22 eV per atom.

=====

Record 15
Entry from Alexandria: a geometry-optimized Ho12Pa3Al5 structure (PBE-GGA).

Structure (CIF):
```
data_Ho12Pa3Al5
_cell_length_a 17.603
_cell_length_b 17.603
_cell_length_c 17.603
_cell_angle_alpha 90.00
_cell_angle_beta 90.00
_cell_angle_gamma 90.00
_symmetry_space_group_name_H-M 'I a -3 d'
_symmetry_Int_Tables_number 230
_symmetry_space_group_name_Hall '-I 4bd 2c 3'
loop_
_atom_site_label
_atom_site_fract_x
_atom_site_fract_y
_atom_site_fract_z
Ho1 0.023 0.075 0.647
Pa1 0.000 0.250 0.125
Al1 0.000 0.000 0.000
Al2 0.000 0.250 0.375
```

Calculated values
The size of the total moment is 0.315 μB/atom. As for the crystal system: cubic. The calculation puts the raw total energy at -4.30 eV per atom.

=====

Record 16
Entry from Alexandria: a geometry-optimized KRbPt structure (PBE-GGA).

Structure (CIF):
```
data_KRbPt
_cell_length_a 4.401
_cell_length_b 4.401
_cell_length_c 10.203
_cell_angle_alpha 90.00
_cell_angle_beta 90.00
_cell_angle_gamma 90.00
_symmetry_space_group_name_H-M 'I 4 m m'
_symmetry_Int_Tables_number 107
_symmetry_space_group_name_Hall 'I 4 -2'
loop_
_atom_site_label
_atom_site_fract_x
_atom_site_fract_y
_atom_site_fract_z
K1 0.000 0.000 0.000
Rb1 0.000 0.000 0.305
Pt1 0.000 0.000 0.646
```

Calculated values
The size of the total moment is 0.000 μB/atom. As for the crystal system: tetragonal. The calculation puts the raw total energy at -2.58 eV per atom. As for the energy above the most stable polymorph in this dataset: 0.190 eV/atom.

=====

Record 17
Entry from Alexandria: a geometry-optimized PmCdGa structure (PBE-GGA).

Structure (CIF):
```
data_PmCdGa
_cell_length_a 4.8109
_cell_length_b 4.8109
_cell_length_c 24.2464
_cell_angle_alpha 90.00
_cell_angle_beta 90.00
_cell_angle_gamma 120.00
_symmetry_space_group_name_H-M 'R -3 m'
_symmetry_Int_Tables_number 166
_symmetry_space_group_name_Hall '-R 3 2"'
loop_
_atom_site_label
_atom_site_fract_x
_atom_site_fract_y
_atom_site_fract_z
Pm1 0.0000 0.0000 0.0760
Cd1 0.0000 0.0000 0.3234
Ga1 0.0000 0.0000 0.1958
```

Calculated values
The size of the total moment is 0.000 μB/atom. As for the crystal system: trigonal. The calculation puts the raw total energy at -3.16 eV per atom. As for the energy above the most stable polymorph in this dataset: 0.265 eV/atom.

=====

Record 18
Entry from Alexandria: a geometry-optimized LaHf2Ag2 structure (PBE-GGA).

Structure (CIF):
```
data_LaHf2Ag2
_cell_length_a 8.450
_cell_length_b 8.450
_cell_length_c 3.213
_cell_angle_alpha 90.00
_cell_angle_beta 90.00
_cell_angle_gamma 90.00
_symmetry_space_group_name_H-M 'P 4/m b m'
_symmetry_Int_Tables_number 127
_symmetry_space_group_name_Hall '-P 4 2ab'
loop_
_atom_site_label
_atom_site_fract_x
_atom_site_fract_y
_atom_site_fract_z
La1 0.000 0.000 0.000
Hf1 0.170 0.330 0.500
Ag1 0.122 0.622 0.000
```

Calculated values
The size of the total moment is 0.000 μB/atom. As for the crystal system: tetragonal. The calculation puts the raw total energy at -5.94 eV per atom. As for the energy above the most stable polymorph in this dataset: 0.036 eV/atom.

=====

Record 19
Entry from Alexandria: a geometry-optimized AcBe3N3 structure (PBE-GGA).

Structure (CIF):
```
data_AcBe3N3
_cell_length_a 7.2004
_cell_length_b 7.2004
_cell_length_c 6.7427
_cell_angle_alpha 90.00
_cell_angle_beta 90.00
_cell_angle_gamma 120.00
_symmetry_space_group_name_H-M 'P 63/m m c'
_symmetry_Int_Tables_number 194
_symmetry_space_group_name_Hall '-P 6c 2c'
loop_
_atom_site_label
_atom_site_fract_x
_atom_site_fract_y
_atom_site_fract_z
Ac1 0.3333 0.6667 0.2500
Be1 0.2344 0.4687 0.7500
N1 0.0582 0.5291 0.7500
```

Calculated values
The size of the total moment is 0.000 μB/atom. As for the crystal system: hexagonal. The calculation puts the raw total energy at -6.25 eV per atom.

=====

Record 20
Entry from Alexandria: a geometry-optimized NaTlPSe3 structure (PBE-GGA).

Structure (CIF):
```
data_NaTlPSe3
_cell_length_a 12.239
_cell_length_b 7.483
_cell_length_c 8.067
_cell_angle_alpha 90.00
_cell_angle_beta 92.86
_cell_angle_gamma 90.00
_symmetry_space_group_name_H-M 'C 1 2/m 1'
_symmetry_Int_Tables_number 12
_symmetry_space_group_name_Hall '-C 2y'
loop_
_atom_site_label
_atom_site_fract_x
_atom_site_fract_y
_atom_site_fract_z
Na1 0.000 0.226 0.000
Tl1 0.154 0.500 0.653
P1 0.021 0.000 0.363
Se1 0.120 0.244 0.323
Se2 0.134 0.000 0.787
```

Calculated values
The size of the total moment is 0.000 μB/atom. As for the crystal system: monoclinic. The calculation puts the raw total energy at -3.72 eV per atom.